# 1
Below is a relaxed structure of CdGa2Au, with properties calculated at the PBE-GGA level.

Calculated values
As for the symmetry: R3m. For the formation energy from the elements, the calculation gives -0.092 eV/atom.

Cell lengths 5.4684, 5.4684, 5.4684 Å; angles 47.77, 47.77, 47.77 degrees
Last column: nearest neighbours and their distance in Å.
Fractional coordinates of all 4 atoms:
Cd: 0.0000 0.0000 0.0000  1 Au 2.83, 6 Ga 2.85-3.04
Ga: 0.2202 0.2202 0.2202  3 Au 2.82, 1 Ga 2.91, 3 Cd 3.04
Ga: 0.4209 0.4209 0.4209  3 Au 2.66, 3 Cd 2.85, 1 Ga 2.91
Au: 0.8051 0.8051 0.8051  6 Ga 2.66-2.82, 1 Cd 2.83

***

# 2
Below is a relaxed structure of CdGa2Au2, with properties calculated at the PBE-GGA level.

Calculated values
As for the symmetry: P4/mbm. For the formation energy from the elements, the calculation gives -0.084 eV/atom.

Cell lengths 8.3094, 8.3094, 2.8086 Å; angles 90.00, 90.00, 90.00 degrees
Last column: nearest neighbours and their distance in Å.
Fractional coordinates of all 10 atoms:
Cd: 0.0000 0.0000 0.0000  2 Cd 2.81
Cd: 0.5000 0.5000 0.0000  2 Cd 2.81
Ga: 0.1266 0.3734 0.0000  6 Au 2.76-2.87, 3 Ga 2.81-2.97
Ga: 0.3734 0.8734 0.0000  6 Au 2.76-2.87, 3 Ga 2.81-2.97
Ga: 0.6266 0.1266 0.0000  6 Au 2.76-2.87, 3 Ga 2.81-2.97
Ga: 0.8734 0.6266 0.0000  6 Au 2.76-2.87, 3 Ga 2.81-2.97
Au: 0.1713 0.6713 0.5000  6 Ga 2.76-2.87, 2 Au 2.81
Au: 0.3287 0.1713 0.5000  6 Ga 2.76-2.87, 2 Au 2.81
Au: 0.6713 0.8287 0.5000  6 Ga 2.76-2.87, 2 Au 2.81
Au: 0.8287 0.3287 0.5000  6 Ga 2.76-2.87, 2 Au 2.81

***

# 3
Below is a relaxed structure of CdGaAu2, with properties calculated at the PBE-GGA level.

Calculated values
As for the symmetry: R3m. For the formation energy from the elements, the calculation gives -0.116 eV/atom.

Cell lengths 6.6928, 6.6928, 6.6928 Å; angles 34.14, 34.14, 34.14 degrees
Last column: nearest neighbours and their distance in Å.
Fractional coordinates of all 4 atoms:
Cd: 0.0000 0.0000 0.0000  6 Au 2.86-2.89, 1 Ga 3.20
Ga: 0.8306 0.8306 0.8306  6 Au 2.64-2.67
Au: 0.2387 0.2387 0.2387  3 Ga 2.67, 3 Cd 2.89
Au: 0.4254 0.4254 0.4254  3 Ga 2.64, 3 Cd 2.86

***

# 4
Below is a relaxed structure of CdGaAu6, with properties calculated at the PBE-GGA level.

Calculated values
As for the symmetry: P4/mmm. For the formation energy from the elements, the calculation gives -0.083 eV/atom.

Cell lengths 4.2292, 4.2292, 8.1372 Å; angles 90.00, 90.00, 90.00 degrees
Last column: nearest neighbours and their distance in Å.
Fractional coordinates of all 8 atoms:
Cd: 0.0000 0.0000 0.0000  12 Au 2.97-2.99
Ga: 0.0000 0.0000 0.5000  12 Au 2.90-2.99
Au: 0.0000 0.5000 0.2565  2 Ga 2.90, 8 Au 2.90-2.99, 2 Cd 2.97
Au: 0.0000 0.5000 0.7435  2 Ga 2.90, 8 Au 2.90-2.99, 2 Cd 2.97
Au: 0.5000 0.0000 0.2565  2 Ga 2.90, 8 Au 2.90-2.99, 2 Cd 2.97
Au: 0.5000 0.0000 0.7435  2 Ga 2.90, 8 Au 2.90-2.99, 2 Cd 2.97
Au: 0.5000 0.5000 0.0000  8 Au 2.97, 4 Cd 2.99
Au: 0.5000 0.5000 0.5000  8 Au 2.90, 4 Ga 2.99

***

# 5
Below is a relaxed structure of Cd2Ga5Au3, with properties calculated at the PBE-GGA level.

Calculated values
As for the symmetry: Cmc2_1. For the formation energy from the elements, the calculation gives -0.122 eV/atom.

Cell lengths 12.6165, 12.6165, 8.3445 Å; angles 90.00, 90.00, 162.33 degrees
Last column: nearest neighbours and their distance in Å.
Fractional coordinates of all 20 atoms:
Cd: 0.0336 0.9664 0.5000  1 Ga 2.76, 3 Au 2.91-2.94
Cd: 0.3443 0.6557 0.9893  4 Au 2.97-3.07, 2 Ga 3.19
Cd: 0.6557 0.3443 0.4893  4 Au 2.97-3.07, 2 Ga 3.19
Cd: 0.9664 0.0336 0.0000  1 Ga 2.76, 3 Au 2.91-2.94
Ga: 0.1051 0.8949 0.7525  1 Ga 2.56, 2 Au 2.67, 1 Cd 2.76
Ga: 0.2073 0.7927 0.7828  3 Ga 2.56-2.86, 3 Au 2.73-2.78
Ga: 0.2164 0.7836 0.1766  4 Au 2.61-2.68, 2 Ga 2.86
Ga: 0.3586 0.6414 0.5259  4 Au 2.65-2.77, 1 Ga 2.95
Ga: 0.4594 0.5406 0.7104  4 Au 2.61-2.72
Ga: 0.5406 0.4594 0.2104  4 Au 2.61-2.72
Ga: 0.6414 0.3586 0.0259  4 Au 2.65-2.77, 1 Ga 2.95
Ga: 0.7836 0.2164 0.6766  4 Au 2.61-2.68, 2 Ga 2.86
Ga: 0.7927 0.2073 0.2828  3 Ga 2.56-2.86, 3 Au 2.73-2.78
Ga: 0.8949 0.1051 0.2525  1 Ga 2.56, 2 Au 2.67, 1 Cd 2.76
Au: 0.1145 0.8855 0.2493  5 Ga 2.61-2.77, 1 Cd 2.91
Au: 0.2512 0.7488 0.4764  7 Ga 2.65-2.78
Au: 0.4538 0.5462 0.3853  5 Ga 2.61-2.72
Au: 0.5462 0.4538 0.8853  5 Ga 2.61-2.72
Au: 0.7488 0.2512 0.9764  7 Ga 2.65-2.78
Au: 0.8855 0.1145 0.7493  5 Ga 2.61-2.77, 1 Cd 2.91

***

# 6
Below is a relaxed structure of CdGaAu5, with properties calculated at the PBE-GGA level.

Calculated values
As for the symmetry: P4/mmm. For the formation energy from the elements, the calculation gives -0.105 eV/atom.

Cell lengths 4.2592, 4.2592, 7.3413 Å; angles 90.00, 90.00, 90.00 degrees
Last column: nearest neighbours and their distance in Å.
Fractional coordinates of all 7 atoms:
Cd: 0.0000 0.0000 0.0000  12 Au 2.99-3.01
Ga: 0.0000 0.0000 0.5000  8 Au 2.65
Au: 0.0000 0.5000 0.2854  2 Ga 2.65
Au: 0.0000 0.5000 0.7146  2 Ga 2.65
Au: 0.5000 0.0000 0.2854  2 Ga 2.65
Au: 0.5000 0.0000 0.7146  2 Ga 2.65
Au: 0.5000 0.5000 0.0000  8 Au 2.99, 4 Cd 3.01

***

# 7
Below is a relaxed structure of CdGa2Au, with properties calculated at the PBE-GGA level.

Calculated values
As for the symmetry: P4/mmm. For the formation energy from the elements, the calculation gives -0.017 eV/atom.

Cell lengths 4.3006, 4.3006, 4.1973 Å; angles 90.00, 90.00, 90.00 degrees
Last column: nearest neighbours and their distance in Å.
Fractional coordinates of all 4 atoms:
Cd: 0.0000 0.0000 0.0000  8 Ga 3.00, 4 Au 3.04
Ga: 0.0000 0.5000 0.5000  4 Cd 3.00, 4 Au 3.00, 4 Ga 3.04
Ga: 0.5000 0.0000 0.5000  4 Cd 3.00, 4 Au 3.00, 4 Ga 3.04
Au: 0.5000 0.5000 0.0000  8 Ga 3.00, 4 Cd 3.04

***

# 8
Below is a relaxed structure of Cd2GaAu8, with properties calculated at the PBE-GGA level.

Calculated values
As for the symmetry: Immm. For the formation energy from the elements, the calculation gives -0.110 eV/atom.

Cell lengths 7.9691, 7.9691, 7.9691 Å; angles 146.18, 131.90, 60.09 degrees
Last column: nearest neighbours and their distance in Å.
Fractional coordinates of all 11 atoms:
Cd: 0.1872 0.1872 0.0000  10 Au 2.85-3.04
Cd: 0.8128 0.8128 0.0000  10 Au 2.85-3.04
Ga: 0.5000 0.5000 0.0000  8 Au 2.55-2.85
Au: 0.0943 0.3666 0.7277  1 Ga 2.55, 2 Cd 2.85
Au: 0.2451 0.0000 0.2451  2 Ga 2.85, 7 Au 2.96-3.18, 2 Cd 3.03
Au: 0.3179 0.8179 0.5000  4 Cd 2.94-3.25, 8 Au 2.94-3.01
Au: 0.3611 0.6334 0.7277  1 Ga 2.55, 2 Cd 2.85
Au: 0.6389 0.3666 0.2723  1 Ga 2.55, 2 Cd 2.85
Au: 0.6821 0.1821 0.5000  4 Cd 2.94-3.25, 8 Au 2.94-3.01
Au: 0.7549 0.0000 0.7549  2 Ga 2.85, 7 Au 2.96-3.18, 2 Cd 3.03
Au: 0.9057 0.6334 0.2723  1 Ga 2.55, 2 Cd 2.85